Compound: La2MgInO
Source: the Alexandria database
Functional: PBE
Structure: relaxed

abc: 5.109 5.109 4.572
angles: 90.00 90.00 90.00
Sites, in units of the cell vectors:
La 0.000 0.500 0.000
La 0.500 0.000 0.000
Mg 0.000 0.000 0.500
In 0.500 0.500 0.500
O 0.000 0.000 0.000

- Raw total energy: -25.7 eV per cell


Compound: LaMgInPb
Source: the Alexandria database
Functional: PBE
Structure: relaxed

abc: 7.672 7.672 7.672
angles: 90.00 90.00 90.00
Sites, in units of the cell vectors:
La 0.000 0.000 0.000
La 0.000 0.500 0.500
La 0.500 0.000 0.500
La 0.500 0.500 0.000
Mg 0.000 0.000 0.500
Mg 0.000 0.500 0.000
Mg 0.500 0.000 0.000
Mg 0.500 0.500 0.500
In 0.250 0.250 0.750
In 0.250 0.750 0.250
In 0.750 0.250 0.250
In 0.750 0.750 0.750
Pb 0.250 0.250 0.250
Pb 0.250 0.750 0.750
Pb 0.750 0.250 0.750
Pb 0.750 0.750 0.250

- Energy relative to the elements: -327.6 meV per atom
- Raw total energy: -57.1 eV per cell


Density of states at the Fermi level list, top to bottom, in states/eV per cell: 2.41; 11.31
Volume list, top to bottom, in Å³/atom: 23.9; 28.2